Compound: Na2Sr3Ca4
Source: the Alexandria database
Functional: GGA-PBE
Structure: optimized geometry

The calculation puts the density of states at the Fermi level at 1.13 states/eV/atom. The formation energy comes out at 76 meV per atom. The volume comes out at 407.80 Å³/f.u.

a b c (Å): 10.876 8.772 8.772
angles (deg): 96.89 82.75 82.75
Atoms (fractional coordinates):
Sr1 0.256 0.969 0.698
Na1 0.416 0.269 0.520
Sr2 0.744 0.031 0.302
Ca1 0.910 0.185 0.938
Ca2 0.423 0.605 0.846
Na2 0.916 0.520 0.269
Na3 0.084 0.480 0.731
Sr3 0.250 0.617 0.383
Ca3 0.077 0.154 0.395
Ca4 0.577 0.395 0.154
Ca5 0.923 0.846 0.605
Sr4 0.244 0.302 0.031
Ca6 0.090 0.815 0.062
Ca7 0.410 0.938 0.185
Sr5 0.756 0.698 0.969
Sr6 0.750 0.383 0.617
Ca8 0.590 0.062 0.815
Na4 0.584 0.731 0.480